Computed, not measured: TbSm3Dy2Ho6 after structural relaxation at the PBE level of DFT.

```
12
Lattice="3.081 -5.332 0.000 3.081 5.332 0.000 -2.044 0.000 11.580" Properties=species:S:1:pos:R:3 pbc="T T T"
Tb 0.000 0.000 0.000
Sm 2.058 3.555 5.790
Sm 2.058 0.000 5.790
Sm 2.058 -3.555 5.790
Dy 3.081 1.778 0.000
Dy 3.081 -1.778 0.000
Ho 1.033 1.778 2.871
Ho 0.004 0.000 8.709
Ho 1.033 -1.778 2.871
Ho 3.084 1.778 8.709
Ho 4.113 0.000 2.871
Ho 3.084 -1.778 8.709
```

Calculated values
VASP energy in eV per atom: -4.605
Size of the total moment in μB/f.u.: 0.00
D(E_F) in states/eV per atom: 1.27
DFT formation energy in eV per atom: 0.02